{"formula": "Cs3CaPm2Te6", "functional": "PBE", "state": "relaxed", "raw_formation_energy_ev_per_fu": -15.70, "volume_a3_per_atom": 41.96, "magmom_total_mub_per_fu": 0.00, "space_group": "C2/m (12)", "lattice": [[4.0191, -6.9604, 0.0000], [4.0191, 6.9604, 0.0000], [-2.6795, 0.0000, 8.9990]], "species": ["Cs", "Cs", "Cs", "Ca", "Pm", "Pm", "Te", "Te", "Te", "Te", "Te", "Te"], "fractional_positions": [[0.0000, 0.0000, 0.0000], [0.3347, 0.6653, 0.0000], [0.6653, 0.3347, 0.0000], [0.5000, 0.5000, 0.5000], [0.1667, 0.8333, 0.5000], [0.8333, 0.1667, 0.5000], [0.0969, 0.4352, 0.3056], [0.2264, 0.2264, 0.6938], [0.4352, 0.0969, 0.3056], [0.5648, 0.9031, 0.6944], [0.7736, 0.7736, 0.3062], [0.9031, 0.5648, 0.6944]]}


{"formula": "ZrMoPt", "functional": "PBE", "state": "relaxed", "de_polymorph_ev_per_atom": 0.020, "formation_enthalpy_0k_ev_per_atom": -0.50, "volume_a3_per_atom": 17.68, "magmom_total_mub_per_fu": 0.00, "space_group": "P2_1/m (11)", "lattice": [[2.9208, 0.0000, 0.0000], [0.0000, 4.5487, 0.0000], [-0.5366, 0.0000, 7.9861]], "species": ["Zr", "Zr", "Mo", "Mo", "Pt", "Pt"], "fractional_positions": [[0.0077, 0.2500, 0.2206], [0.9923, 0.7500, 0.7794], [0.3460, 0.7500, 0.4369], [0.6540, 0.2500, 0.5631], [0.4614, 0.2500, 0.8924], [0.5386, 0.7500, 0.1076]]}


{"formula": "Na3Y2PuTe6", "functional": "PBE", "state": "relaxed", "raw_formation_energy_ev_per_fu": -14.64, "volume_a3_per_atom": 32.45, "magmom_total_mub_per_fu": 5.00, "space_group": "C2/m (12)", "lattice": [[3.8637, -6.6897, 0.0000], [3.8637, 6.6897, 0.0000], [-2.5741, 0.0000, 7.5325]], "species": ["Na", "Na", "Na", "Y", "Y", "Pu", "Te", "Te", "Te", "Te", "Te", "Te"], "fractional_positions": [[0.0000, 0.0000, 0.0000], [0.3341, 0.6659, 0.0000], [0.6659, 0.3341, 0.0000], [0.1668, 0.8332, 0.5000], [0.8332, 0.1668, 0.5000], [0.5000, 0.5000, 0.5000], [0.0849, 0.4222, 0.2667], [0.2404, 0.2404, 0.7333], [0.4222, 0.0849, 0.2667], [0.5778, 0.9151, 0.7333], [0.7596, 0.7596, 0.2667], [0.9151, 0.5778, 0.7333]]}


{"formula": "Ba3NaGa2", "functional": "PBE", "state": "relaxed", "formation_enthalpy_0k_ev_per_atom": -0.24, "volume_a3_per_atom": 39.44, "magmom_total_mub_per_fu": 0.00, "space_group": "P4/mmm (123)", "lattice": [[4.1399, 0.0000, 0.0000], [0.0000, 4.1399, 0.0000], [0.0000, 0.0000, 13.8055]], "species": ["Ba", "Ba", "Ba", "Na", "Ga", "Ga"], "fractional_positions": [[0.0000, 0.0000, 0.0000], [0.0000, 0.0000, 0.2857], [0.0000, 0.0000, 0.7143], [0.5000, 0.5000, 0.5000], [0.5000, 0.5000, 0.1480], [0.5000, 0.5000, 0.8520]]}


{"formula": "Er2PuSc6", "functional": "PBE", "state": "relaxed", "formation_enthalpy_0k_ev_per_atom": 0.04, "volume_a3_per_atom": 25.80, "magmom_total_mub_per_fu": 6.29, "space_group": "C2/m (12)", "lattice": [[8.6600, -1.6737, 0.0000], [8.6600, 1.6737, 0.0000], [-1.8636, 0.0000, 8.0092]], "species": ["Er", "Er", "Pu", "Sc", "Sc", "Sc", "Sc", "Sc", "Sc"], "fractional_positions": [[0.0929, 0.0929, 0.3357], [0.9071, 0.9071, 0.6643], [0.5000, 0.5000, 0.0000], [0.1675, 0.1675, 0.9971], [0.2393, 0.2393, 0.6665], [0.4229, 0.4229, 0.3285], [0.5771, 0.5771, 0.6715], [0.7607, 0.7607, 0.3335], [0.8325, 0.8325, 0.0029]]}


{"formula": "Ho2TlPb", "functional": "PBE", "state": "relaxed", "formation_enthalpy_0k_ev_per_atom": -0.29, "volume_a3_per_atom": 29.35, "magmom_total_mub_per_fu": 0.00, "space_group": "R-3m (166)", "lattice": [[1.8934, 1.0932, 9.4546], [-1.8934, 1.0932, 9.4546], [0.0000, -2.1863, 9.4546]], "species": ["Ho", "Ho", "Tl", "Pb"], "fractional_positions": [[0.2504, 0.2504, 0.2504], [0.7496, 0.7496, 0.7496], [0.0000, 0.0000, 0.0000], [0.5000, 0.5000, 0.5000]]}


{"formula": "CaCuSbH", "functional": "PBE", "state": "relaxed", "volume_a3_per_atom": 18.22, "magmom_total_mub_per_fu": 0.00, "space_group": "P3m1 (156)", "dft_energy_ev_per_atom": -3.831, "lattice": [[4.3828, 0.0000, 0.0000], [-2.1914, 3.7956, 0.0000], [0.0000, 0.0000, 4.3809]], "species": ["Ca", "Cu", "Sb", "H"], "fractional_positions": [[0.0000, 0.0000, 0.0000], [0.6667, 0.3333, 0.5793], [0.3333, 0.6667, 0.4745], [0.6667, 0.3333, 0.9442]]}


{"formula": "K5Rb3Na2", "functional": "PBE", "state": "relaxed", "de_polymorph_ev_per_atom": 0.043, "formation_enthalpy_0k_ev_per_atom": 0.06, "volume_a3_per_atom": 74.15, "magmom_total_mub_per_fu": 0.00, "space_group": "Ibam (72)", "lattice": [[-8.7411, 9.8189, 4.3198], [8.7411, -9.8189, 4.3198], [8.7411, 9.8189, -4.3198]], "species": ["K", "K", "K", "K", "K", "K", "K", "K", "K", "K", "Rb", "Rb", "Rb", "Rb", "Rb", "Rb", "Na", "Na", "Na", "Na"], "fractional_positions": [[0.1684, 0.1085, 0.2769], [0.2500, 0.0067, 0.7567], [0.2500, 0.2500, 0.0000], [0.2500, 0.4933, 0.2433], [0.3316, 0.6085, 0.9401], [0.6684, 0.3915, 0.0599], [0.7500, 0.5067, 0.7567], [0.7500, 0.7500, 0.0000], [0.7500, 0.9933, 0.2433], [0.8316, 0.8915, 0.7231], [0.2237, 0.3707, 0.5944], [0.2500, 0.7500, 0.5000], [0.2763, 0.8707, 0.1471], [0.7237, 0.1293, 0.8529], [0.7500, 0.2500, 0.5000], [0.7763, 0.6293, 0.4056], [0.1419, 0.6464, 0.7883], [0.3581, 0.1464, 0.5046], [0.6419, 0.8536, 0.4954], [0.8581, 0.3536, 0.2117]]}


Copy entry 6 word for word.
{"formula": "Ho2TlPb", "functional": "PBE", "state": "relaxed", "formation_enthalpy_0k_ev_per_atom": -0.29, "volume_a3_per_atom": 29.35, "magmom_total_mub_per_fu": 0.00, "space_group": "R-3m (166)", "lattice": [[1.8934, 1.0932, 9.4546], [-1.8934, 1.0932, 9.4546], [0.0000, -2.1863, 9.4546]], "species": ["Ho", "Ho", "Tl", "Pb"], "fractional_positions": [[0.2504, 0.2504, 0.2504], [0.7496, 0.7496, 0.7496], [0.0000, 0.0000, 0.0000], [0.5000, 0.5000, 0.5000]]}